# 1
A PBEsol-optimized structure of Nb4Rh2C. Source: the Alexandria database, functional SCAN.

## Properties
The value obtained for the density of states at the Fermi level is 6.652 states/eV/f.u. The calculation puts the total energy at -853.994 eV/cell. The volume is 104.8 Å³/f.u.

Unit cell a=8.4018 b=8.4018 c=8.4018 alpha=60.00 beta=60.00 gamma=60.00
With the nearest neighbours (Å) after each atom.
Sites, in units of the cell vectors:
Nb (0.0000, 0.0000, 0.0000)  6 Rh 2.60
Nb (0.0000, 0.0000, 0.5000)  6 Rh 2.60
Nb (0.0000, 0.5000, 0.0000)  6 Rh 2.60
Nb (0.1915, 0.1915, 0.5585)  2 C 2.21
Nb (0.1915, 0.5585, 0.1915)  2 C 2.21
Nb (0.1915, 0.5585, 0.5585)  2 C 2.21
Nb (0.4415, 0.4415, 0.8085)  2 C 2.21
Nb (0.4415, 0.8085, 0.4415)  2 C 2.21
Nb (0.4415, 0.8085, 0.8085)  2 C 2.21
Nb (0.5000, 0.0000, 0.0000)  6 Rh 2.60
Nb (0.5585, 0.1915, 0.1915)  2 C 2.21
Nb (0.5585, 0.1915, 0.5585)  2 C 2.21
Nb (0.5585, 0.5585, 0.1915)  2 C 2.21
Nb (0.8085, 0.4415, 0.4415)  2 C 2.21
Nb (0.8085, 0.4415, 0.8085)  2 C 2.21
Nb (0.8085, 0.8085, 0.4415)  2 C 2.21
Rh (0.1370, 0.7877, 0.7877)  6 Nb 2.60-2.74
Rh (0.2123, 0.2123, 0.2123)  6 Nb 2.60-2.74
Rh (0.2123, 0.2123, 0.8630)  6 Nb 2.60-2.74
Rh (0.2123, 0.8630, 0.2123)  6 Nb 2.60-2.74
Rh (0.7877, 0.1370, 0.7877)  6 Nb 2.60-2.74
Rh (0.7877, 0.7877, 0.1370)  6 Nb 2.60-2.74
Rh (0.7877, 0.7877, 0.7877)  6 Nb 2.60-2.74
Rh (0.8630, 0.2123, 0.2123)  6 Nb 2.60-2.74
C (0.0000, 0.5000, 0.5000)  6 Nb 2.21
C (0.5000, 0.0000, 0.5000)  6 Nb 2.21
C (0.5000, 0.5000, 0.0000)  6 Nb 2.21
C (0.5000, 0.5000, 0.5000)  6 Nb 2.21

***

# 2
A PBEsol-optimized structure of NbTlRuC2. Source: the Alexandria database, functional SCAN.

## Properties
The value obtained for the density of states at the Fermi level is 2.321 states/eV/f.u. The calculation puts the total energy at -153.292 eV/cell. The volume is 81.0 Å³/f.u.

Unit cell a=3.9644 b=3.9644 c=5.1521 alpha=90.00 beta=90.00 gamma=90.00
With the nearest neighbours (Å) after each atom.
Sites, in units of the cell vectors:
Nb (0.0000, 0.0000, 0.0000)  2 Ru 2.58, 4 Tl 2.80
Tl (0.5000, 0.5000, 0.0000)  4 Nb 2.80
Ru (0.0000, 0.0000, 0.5000)  4 C 1.98
C (0.0000, 0.5000, 0.5000)  2 Ru 1.98
C (0.5000, 0.0000, 0.5000)  2 Ru 1.98

***

# 3
A PBEsol-optimized structure of Nb2CS. Source: the Alexandria database, functional SCAN.

## Properties
The value obtained for the density of states at the Fermi level is 1.451 states/eV/f.u. The energy relative to the elements, uncorrected is -838 meV/atom. The calculation puts the total energy at -178.676 eV/cell. The volume is 54.2 Å³/f.u.

Unit cell a=3.2819 b=3.2819 c=11.6290 alpha=90.00 beta=90.00 gamma=120.00
With the nearest neighbours (Å) after each atom.
Sites, in units of the cell vectors:
Nb (0.3333, 0.6667, 0.0962)  3 C 2.20
Nb (0.3333, 0.6667, 0.4038)  3 C 2.20
Nb (0.6667, 0.3333, 0.5962)  3 C 2.20
Nb (0.6667, 0.3333, 0.9038)  3 C 2.20
C (0.0000, 0.0000, 0.0000)  6 Nb 2.20
C (0.0000, 0.0000, 0.5000)  6 Nb 2.20
S (0.3333, 0.6667, 0.7500)  6 Nb 2.61
S (0.6667, 0.3333, 0.2500)  6 Nb 2.61

***

# 4
A PBEsol-optimized structure of Nb3CS. Source: the Alexandria database, functional SCAN.

## Properties
The value obtained for the density of states at the Fermi level is 3.801 states/eV/f.u. The energy relative to the elements, uncorrected is 1455 meV/atom. The calculation puts the total energy at -111.840 eV/cell. The volume is 89.3 Å³/f.u.

Unit cell a=4.4698 b=4.4698 c=4.4698 alpha=90.00 beta=90.00 gamma=90.00
With the nearest neighbours (Å) after each atom.
Sites, in units of the cell vectors:
Nb (0.0000, 0.0000, 0.5000)  2 S 2.23
Nb (0.0000, 0.5000, 0.0000)  2 S 2.23
Nb (0.5000, 0.0000, 0.0000)  2 S 2.23
C (0.5000, 0.5000, 0.5000)  12 Nb 3.16
S (0.0000, 0.0000, 0.0000)  6 Nb 2.23

***

# 5
A PBEsol-optimized structure of ScNbC2. Source: the Alexandria database, functional SCAN.

## Properties
The value obtained for the density of states at the Fermi level is 3.310 states/eV/f.u. The calculation puts the total energy at -65.377 eV/cell. The volume is 44.2 Å³/f.u.

Unit cell a=3.9700 b=3.9700 c=3.9700 alpha=60.00 beta=60.00 gamma=60.00
With the nearest neighbours (Å) after each atom.
Sites, in units of the cell vectors:
Sc (0.0000, 0.0000, 0.0000)  8 C 2.43
Nb (0.5000, 0.5000, 0.5000)  8 C 2.43
C (0.2500, 0.2500, 0.2500)  4 Nb 2.43, 4 Sc 2.43
C (0.7500, 0.7500, 0.7500)  4 Nb 2.43, 4 Sc 2.43

***

# 6
A PBEsol-optimized structure of Nb4SiC3. Source: the Alexandria database, functional SCAN.

## Properties
The value obtained for the density of states at the Fermi level is 3.442 states/eV/f.u. The energy relative to the elements, uncorrected is -513 meV/atom. The calculation puts the total energy at -353.880 eV/cell. The volume is 99.9 Å³/f.u.

Unit cell a=3.1725 b=3.1725 c=22.9264 alpha=90.00 beta=90.00 gamma=120.00
With the nearest neighbours (Å) after each atom.
Sites, in units of the cell vectors:
Nb (0.0000, 0.0000, 0.1645)  3 C 2.18
Nb (0.0000, 0.0000, 0.3355)  3 C 2.18
Nb (0.0000, 0.0000, 0.6645)  3 C 2.18
Nb (0.0000, 0.0000, 0.8355)  3 C 2.18
Nb (0.3333, 0.6667, 0.0575)  6 C 2.23-2.26
Nb (0.3333, 0.6667, 0.4425)  6 C 2.23-2.26
Nb (0.6667, 0.3333, 0.5575)  6 C 2.23-2.26
Nb (0.6667, 0.3333, 0.9425)  6 C 2.23-2.26
Si (0.3333, 0.6667, 0.2500)  6 Nb 2.68
Si (0.6667, 0.3333, 0.7500)  6 Nb 2.68
C (0.0000, 0.0000, 0.0000)  6 Nb 2.26
C (0.0000, 0.0000, 0.5000)  6 Nb 2.26
C (0.3333, 0.6667, 0.6133)  6 Nb 2.18-2.23
C (0.3333, 0.6667, 0.8867)  6 Nb 2.18-2.23
C (0.6667, 0.3333, 0.1133)  6 Nb 2.18-2.23
C (0.6667, 0.3333, 0.3867)  6 Nb 2.18-2.23